No. 1
# LiNbO3 | Alexandria | meta-GGA SCAN | single point on PBEsol structure
data_LiNbO3
_chemical_formula_sum 'Li8 Nb8 O24'
_space_group_name_H-M_alt 'P b c m'
_space_group_IT_number 57
_cell_length_a 5.2236
_cell_length_b 5.4722
_cell_length_c 15.0102
_cell_angle_alpha 90.00
_cell_angle_beta 90.00
_cell_angle_gamma 90.00
loop_
_space_group_symop_operation_xyz
'x,y,z'
'-x,-y,-z'
'-x,-y,z+1/2'
'x,y,-z+1/2'
'x,-y+1/2,-z'
'-x,y+1/2,z'
'-x,y+1/2,-z+1/2'
'x,-y+1/2,z+1/2'
loop_
_atom_site_label
_atom_site_fract_x
_atom_site_fract_y
_atom_site_fract_z
Li1 0.2399 0.2500 0.0000
Li2 0.2450 0.2320 0.2500
Nb1 0.2581 0.7478 0.1254
O1 0.0653 0.0352 0.6564
O2 0.1297 0.7500 0.0000
O3 0.3707 0.6814 0.7500
O4 0.4298 0.0867 0.0945
# - DOS(E_F): 0.000 states/eV/atom
# - M_tot: 0.00 μB per formula unit
# - Energy relative to the elements, uncorrected: -13.320 eV/f.u.


No. 2
# Li2NbP4O13 | Alexandria | meta-GGA SCAN | single point on PBEsol structure
data_Li2NbP4O13
_chemical_formula_sum 'Li4 Nb2 P8 O26'
_space_group_name_H-M_alt 'P -1'
_space_group_IT_number 2
_cell_length_a 5.2752
_cell_length_b 7.9736
_cell_length_c 13.2807
_cell_angle_alpha 73.20
_cell_angle_beta 87.15
_cell_angle_gamma 79.87
loop_
_space_group_symop_operation_xyz
'x,y,z'
'-x,-y,-z'
loop_
_atom_site_label
_atom_site_fract_x
_atom_site_fract_y
_atom_site_fract_z
Li1 0.0039 0.2844 0.0048
Li2 0.4423 0.6833 0.4820
Nb1 0.0339 0.9679 0.2460
P1 0.1477 0.3754 0.1952
P2 0.1634 0.4236 0.6745
P3 0.4147 0.1650 0.8690
P4 0.4801 0.1146 0.3549
O1 0.0137 0.5956 0.7032
O2 0.0237 0.2394 0.1611
O3 0.0264 0.7015 0.3231
O4 0.1628 0.5426 0.1119
O5 0.2306 0.9528 0.6587
O6 0.2541 0.0325 0.8513
O7 0.2958 0.9034 0.1444
O8 0.3020 0.4826 0.5735
O9 0.3265 0.9704 0.3465
O10 0.3487 0.2198 0.9660
O11 0.3671 0.3388 0.7665
O12 0.4188 0.1889 0.4449
O13 0.4195 0.2779 0.2453
# - M_tot: 1.00 μB per formula unit
# - Energy relative to the elements, uncorrected: -49.453 eV/f.u.


No. 3
# LiNbP4O12 | Alexandria | meta-GGA SCAN | single point on PBEsol structure
data_LiNbP4O12
_chemical_formula_sum 'Li4 Nb4 P16 O48'
_space_group_name_H-M_alt 'C 1 2/m 1'
_space_group_IT_number 12
_cell_length_a 17.5863
_cell_length_b 12.4434
_cell_length_c 5.4229
_cell_angle_alpha 90.00
_cell_angle_beta 103.82
_cell_angle_gamma 90.00
loop_
_space_group_symop_operation_xyz
'x,y,z'
'-x,-y,-z'
'-x,y,-z'
'x,-y,z'
'x+1/2,y+1/2,z'
'-x+1/2,-y+1/2,-z'
'-x+1/2,y+1/2,-z'
'x+1/2,-y+1/2,z'
loop_
_atom_site_label
_atom_site_fract_x
_atom_site_fract_y
_atom_site_fract_z
Li1 0.0953 0.0000 0.4881
Nb1 0.2500 0.2500 0.0000
P1 0.0782 0.2156 0.1695
P2 0.1827 0.3821 0.4590
O1 0.0000 0.2682 0.0000
O2 0.0609 0.1213 0.3126
O3 0.1043 0.3156 0.3603
O4 0.1355 0.2029 0.0035
O5 0.1492 0.5000 0.3823
O6 0.2065 0.3761 0.7445
O7 0.2441 0.3542 0.3190
# - M_tot: 2.00 μB per formula unit
# - Energy relative to the elements, uncorrected: -42.593 eV/f.u.


No. 4
# LiNbPO5 | Alexandria | meta-GGA SCAN | single point on PBEsol structure
data_LiNbPO5
_chemical_formula_sum 'Li4 Nb4 P4 O20'
_space_group_name_H-M_alt 'P -1'
_space_group_IT_number 2
_cell_length_a 7.1665
_cell_length_b 7.3841
_cell_length_c 7.9661
_cell_angle_alpha 90.06
_cell_angle_beta 92.64
_cell_angle_gamma 116.38
loop_
_space_group_symop_operation_xyz
'x,y,z'
'-x,-y,-z'
loop_
_atom_site_label
_atom_site_fract_x
_atom_site_fract_y
_atom_site_fract_z
Li1 0.1830 0.1806 0.0661
Li2 0.3035 0.7162 0.4316
Nb1 0.2526 0.4994 0.7573
Nb2 0.2530 0.9988 0.7401
P1 0.2263 0.7629 0.1011
P2 0.2761 0.2578 0.3985
O1 0.0691 0.1046 0.3134
O2 0.0733 0.6512 0.2391
O3 0.1416 0.8850 0.9881
O4 0.2337 0.7403 0.6646
O5 0.2511 0.4243 0.4993
O6 0.2603 0.6082 0.9928
O7 0.2656 0.2541 0.8321
O8 0.3714 0.1508 0.5176
O9 0.4191 0.3508 0.2504
O10 0.4285 0.9030 0.1990
# - DOS(E_F): 0.041 states/eV/atom
# - M_tot: 1.00 μB per formula unit
# - Energy relative to the elements, uncorrected: -20.645 eV/f.u.


No. 5
# LiNbP4O12 | Alexandria | meta-GGA SCAN | single point on PBEsol structure
data_LiNbP4O12
_chemical_formula_sum 'Li4 Nb4 P16 O48'
_space_group_name_H-M_alt 'C 1 2/c 1'
_space_group_IT_number 15
_cell_length_a 11.9235
_cell_length_b 8.4118
_cell_length_c 10.2301
_cell_angle_alpha 90.00
_cell_angle_beta 118.90
_cell_angle_gamma 90.00
loop_
_space_group_symop_operation_xyz
'x,y,z'
'-x,-y,-z'
'-x,y,-z+1/2'
'x,-y,z+1/2'
'x+1/2,y+1/2,z'
'-x+1/2,-y+1/2,-z'
'-x+1/2,y+1/2,-z+1/2'
'x+1/2,-y+1/2,z+1/2'
loop_
_atom_site_label
_atom_site_fract_x
_atom_site_fract_y
_atom_site_fract_z
Li1 0.0000 0.0237 0.2500
Nb1 0.2500 0.2500 0.5000
P1 0.0126 0.2634 0.9773
P2 0.1906 0.4936 0.1953
O1 0.0343 0.1251 0.9055
O2 0.0504 0.2434 0.4245
O3 0.0667 0.3992 0.6466
O4 0.1465 0.3541 0.0744
O5 0.2055 0.0843 0.3166
O6 0.2249 0.4286 0.3461
# - M_tot: 2.00 μB per formula unit
# - Energy relative to the elements, uncorrected: -43.139 eV/f.u.


No. 6
# LiNbSn3P6O24 | Alexandria | meta-GGA SCAN | single point on PBEsol structure
data_LiNbSn3P6O24
_chemical_formula_sum 'Li3 Nb3 Sn9 P18 O72'
_space_group_name_H-M_alt 'R 3'
_space_group_IT_number 146
_space_group_name_Hall 'R 3'
_cell_length_a 8.5142
_cell_length_b 8.5142
_cell_length_c 22.6192
_cell_angle_alpha 90.00
_cell_angle_beta 90.00
_cell_angle_gamma 120.00
loop_
_atom_site_label
_atom_site_fract_x
_atom_site_fract_y
_atom_site_fract_z
Li1 0.0000 0.0000 0.0000
Nb1 0.0000 0.0000 0.8349
Sn1 0.0000 0.0000 0.1254
Sn2 0.0000 0.0000 0.3329
Sn3 0.0000 0.0000 0.6254
P1 0.0002 0.7144 0.2298
P2 0.0075 0.2923 0.7261
O1 0.0072 0.1938 0.7841
O2 0.0093 0.8048 0.1706
O3 0.0189 0.1878 0.0640
O4 0.0753 0.2233 0.3843
O5 0.0781 0.2261 0.6751
O6 0.1579 0.6835 0.5550
O7 0.1855 0.7422 0.9472
O8 0.1888 0.7424 0.2409
# - DOS(E_F): 0.000 states/eV/atom
# - M_tot: 0.00 μB per formula unit
# - Energy relative to the elements, uncorrected: -82.369 eV/f.u.


No. 7
# LiTi3NbP6O24 | Alexandria | meta-GGA SCAN | single point on PBEsol structure
data_LiTi3NbP6O24
_chemical_formula_sum 'Li3 Ti9 Nb3 P18 O72'
_space_group_name_H-M_alt 'R 3'
_space_group_IT_number 146
_space_group_name_Hall 'R 3'
_cell_length_a 8.6085
_cell_length_b 8.6085
_cell_length_c 21.4516
_cell_angle_alpha 90.00
_cell_angle_beta 90.00
_cell_angle_gamma 120.00
loop_
_atom_site_label
_atom_site_fract_x
_atom_site_fract_y
_atom_site_fract_z
Li1 0.0000 0.0000 0.0000
Ti1 0.0000 0.0000 0.3779
Ti2 0.0000 0.0000 0.6520
Ti3 0.0000 0.0000 0.8704
Nb1 0.0000 0.0000 0.1570
P1 0.0485 0.3738 0.9356
P2 0.0524 0.6692 0.4298
O1 0.0200 0.1826 0.9327
O2 0.0266 0.8312 0.7059
O3 0.0420 0.8409 0.4279
O4 0.1460 0.4783 0.8753
O5 0.1517 0.6721 0.4900
O6 0.1592 0.6826 0.7666
O7 0.1655 0.4686 0.9919
O8 0.1657 0.4664 0.2702
# - DOS(E_F): 0.000 states/eV/atom
# - M_tot: 0.00 μB per formula unit
# - Energy relative to the elements, uncorrected: -96.636 eV/f.u.


No. 8
# Li3Nb4SnO12 | Alexandria | meta-GGA SCAN | single point on PBEsol structure
data_Li3Nb4SnO12
_chemical_formula_sum 'Li3 Nb4 Sn1 O12'
_space_group_name_H-M_alt 'P 1'
_space_group_IT_number 1
_cell_length_a 5.4000
_cell_length_b 5.5735
_cell_length_c 7.7369
_cell_angle_alpha 87.31
_cell_angle_beta 89.92
_cell_angle_gamma 89.78
loop_
_space_group_symop_operation_xyz
'x,y,z'
loop_
_atom_site_label
_atom_site_fract_x
_atom_site_fract_y
_atom_site_fract_z
Li1 0.0000 0.0000 0.0000
Li2 0.0103 0.9936 0.5132
Li3 0.4820 0.5040 0.5148
Nb1 0.4925 0.9493 0.7225
Nb2 0.4974 0.9115 0.2331
Nb3 0.9868 0.4437 0.7136
Nb4 0.9916 0.4133 0.2329
Sn1 0.4797 0.4517 0.9849
O1 0.1086 0.3964 0.4715
O2 0.1870 0.1241 0.7682
O3 0.2093 0.6877 0.1651
O4 0.2647 0.1775 0.1703
O5 0.2958 0.6338 0.7495
O6 0.3875 0.9128 0.4714
O7 0.5991 0.9070 0.9687
O8 0.6851 0.2427 0.6641
O9 0.6868 0.5966 0.2749
O10 0.7895 0.1053 0.2693
O11 0.7952 0.7343 0.6595
O12 0.9247 0.4119 0.9681
# - DOS(E_F): 0.223 states/eV/atom
# - M_tot: 0.00 μB per formula unit
# - Energy relative to the elements, uncorrected: -49.192 eV/f.u.


No. 9
# Sr2Li2Nb3O10 | Alexandria | meta-GGA SCAN | single point on PBEsol structure
data_Sr2Li2Nb3O10
_chemical_formula_sum 'Sr4 Li4 Nb6 O20'
_space_group_name_H-M_alt 'I 4/m m m'
_space_group_IT_number 139
_space_group_name_Hall '-I 4 2'
_cell_length_a 4.0030
_cell_length_b 4.0030
_cell_length_c 26.1364
_cell_angle_alpha 90.00
_cell_angle_beta 90.00
_cell_angle_gamma 90.00
loop_
_atom_site_label
_atom_site_fract_x
_atom_site_fract_y
_atom_site_fract_z
Sr1 0.0000 0.0000 0.0822
Li1 0.0000 0.5000 0.2500
Nb1 0.0000 0.0000 0.3415
Nb2 0.0000 0.0000 0.5000
O1 0.0000 0.0000 0.2695
O2 0.0000 0.0000 0.4239
O3 0.0000 0.5000 0.0000
O4 0.0000 0.5000 0.1488
# - DOS(E_F): 0.128 states/eV/atom
# - M_tot: 0.00 μB per formula unit
# - Energy relative to the elements, uncorrected: -49.311 eV/f.u.


No. 10
# Sr2LiNb3O10 | Alexandria | meta-GGA SCAN | single point on PBEsol structure
data_Sr2LiNb3O10
_chemical_formula_sum 'Sr4 Li2 Nb6 O20'
_space_group_name_H-M_alt 'C 1 2 1'
_space_group_IT_number 5
_cell_length_a 5.5860
_cell_length_b 5.5835
_cell_length_c 14.0991
_cell_angle_alpha 90.00
_cell_angle_beta 101.41
_cell_angle_gamma 90.00
loop_
_space_group_symop_operation_xyz
'x,y,z'
'-x,y,-z'
'x+1/2,y+1/2,z'
'-x+1/2,y+1/2,-z'
loop_
_atom_site_label
_atom_site_fract_x
_atom_site_fract_y
_atom_site_fract_z
Sr1 0.0808 0.0000 0.1613
Li1 0.0000 0.2456 0.5000
Nb1 0.0000 0.4962 0.0000
Nb2 0.1571 0.4968 0.3142
O1 0.0710 0.4924 0.1425
O2 0.1071 0.2461 0.7141
O3 0.1084 0.7463 0.7177
O4 0.2218 0.4960 0.4438
O5 0.2404 0.2286 0.9995
# - DOS(E_F): 0.000 states/eV/atom
# - M_tot: 0.00 μB per formula unit
# - Energy relative to the elements, uncorrected: -47.031 eV/f.u.


No. 11
# Sr3Li6Nb2O11 | Alexandria | meta-GGA SCAN | single point on PBEsol structure
data_Sr3Li6Nb2O11
_chemical_formula_sum 'Sr6 Li12 Nb4 O22'
_space_group_name_H-M_alt 'P m m a'
_space_group_IT_number 51
_cell_length_a 10.5446
_cell_length_b 8.3227
_cell_length_c 5.8068
_cell_angle_alpha 90.00
_cell_angle_beta 90.00
_cell_angle_gamma 90.00
loop_
_space_group_symop_operation_xyz
'x,y,z'
'-x,-y,-z'
'-x+1/2,-y,z'
'x+1/2,y,-z'
'x+1/2,-y,-z'
'-x+1/2,y,z'
'-x,y,-z'
'x,-y,z'
loop_
_atom_site_label
_atom_site_fract_x
_atom_site_fract_y
_atom_site_fract_z
Sr1 0.0000 0.2379 0.0000
Sr2 0.2500 0.5000 0.1195
Li1 0.0000 0.1450 0.5000
Li2 0.2500 0.1844 0.2789
Li3 0.2500 0.3537 0.6502
Nb1 0.0000 0.5000 0.5000
Nb2 0.2500 0.0000 0.7643
O1 0.0586 0.0000 0.7527
O2 0.1075 0.5000 0.7849
O3 0.1114 0.3244 0.3670
O4 0.2500 0.0000 0.4421
O5 0.2500 0.2010 0.9323
# - DOS(E_F): 0.000 states/eV/atom
# - M_tot: 0.00 μB per formula unit
# - Energy relative to the elements, uncorrected: -59.861 eV/f.u.